LiCu2Au | Alexandria | GGA-PBE | relaxed; excess energy over the best structure of this formula in the dataset = 0.083 eV/atom; energy relative to the elements = -0.122 eV per atom; total moment = 0.0 μB per formula unit; symmetry = No. 47; raw total energy = -3.468 eV per atom
1.0
-0.552 1.962 1.802
-3.795 -0.212 -0.931
-0.714 -3.631 3.735
Li Au Cu
1 1 2
Direct
0.500 0.500 0.250
0.500 0.500 0.750
0.000 0.000 0.491
0.000 0.000 0.009


LiCu3Au6 | Alexandria | GGA-PBE | relaxed; excess energy over the best structure of this formula in the dataset = 0.000 eV/atom; energy relative to the elements = -0.146 eV per atom; total moment = 0.0 μB per formula unit; symmetry = No. 11; raw total energy = -3.533 eV per atom
1.0
4.118 0.000 0.000
0.000 8.345 -1.579
0.000 0.962 9.086
Cu Au Li
6 12 2
Direct
0.250 0.351 0.809
0.250 0.748 0.990
0.750 0.649 0.191
0.750 0.252 0.010
0.750 0.450 0.604
0.250 0.550 0.396
0.250 0.261 0.515
0.750 0.739 0.485
0.250 0.837 0.294
0.750 0.163 0.706
0.250 0.457 0.100
0.250 0.151 0.212
0.750 0.543 0.900
0.250 0.633 0.689
0.250 0.061 0.904
0.750 0.849 0.788
0.750 0.939 0.096
0.750 0.367 0.311
0.250 0.946 0.603
0.750 0.054 0.397


LiCu3Au6 | Alexandria | GGA-PBE | relaxed; excess energy over the best structure of this formula in the dataset = 0.074 eV/atom; energy relative to the elements = -0.072 eV per atom; total moment = 0.0 μB per formula unit; symmetry = No. 14; raw total energy = -3.458 eV per atom
1.0
7.426 0.000 -0.890
0.000 6.717 0.000
-0.805 0.000 6.951
Cu Li Au
6 2 12
Direct
0.451 0.169 0.195
0.549 0.831 0.805
0.049 0.669 0.305
0.951 0.331 0.695
0.500 0.500 0.000
0.000 0.000 0.500
0.500 0.500 0.500
0.000 0.000 0.000
0.318 0.807 0.077
0.172 0.412 0.048
0.818 0.693 0.577
0.828 0.588 0.952
0.720 0.873 0.200
0.182 0.307 0.423
0.682 0.193 0.923
0.220 0.627 0.700
0.280 0.127 0.800
0.672 0.088 0.548
0.328 0.912 0.452
0.780 0.373 0.300